# Pa2AlMo

An optimized crystal structure of Pa2AlMo (PBE, Alexandria).

The total magnetic moment is 0.0000 μB per atom. The energy above the most stable polymorph in this dataset is 0 meV/atom. As for the final energy: -8.44 eV/atom. The energy relative to the elements is -49 meV per atom.

Cell and atoms, written as CIF:
```
data_Pa2AlMo
_chemical_formula_sum 'Pa2 Al1 Mo1'
_symmetry_space_group_name_H-M 'P 4/m m m'
_symmetry_Int_Tables_number 123
_symmetry_space_group_name_Hall '-P 4 2'
_cell_length_a 4.378
_cell_length_b 4.378
_cell_length_c 4.323
_cell_angle_alpha 90.00
_cell_angle_beta 90.00
_cell_angle_gamma 90.00
loop_
_atom_site_label
_atom_site_fract_x
_atom_site_fract_y
_atom_site_fract_z
_atom_site_occupancy
Pa1 0.000 0.500 0.000 1
Al1 0.000 0.000 0.500 1
Mo1 0.500 0.500 0.500 1
```